The following is a PBE calculation of crystalline HfMn2BrN at its relaxed geometry, from Alexandria.

Computed properties:
formation energy (no corrections): 0.15 eV per atom
electronic total energy: -7.510 eV/atom

Cell and atoms, written as CIF:
```
data_HfMn2BrN
_chemical_formula_sum 'Hf1 Mn2 Br1 N1'
_space_group_name_H-M_alt 'P 4/m m m'
_space_group_IT_number 123
_space_group_name_Hall '-P 4 2'
_cell_length_a 3.7268
_cell_length_b 3.7268
_cell_length_c 5.5596
_cell_angle_alpha 90.00
_cell_angle_beta 90.00
_cell_angle_gamma 90.00
loop_
_atom_site_label
_atom_site_type_symbol
_atom_site_fract_x
_atom_site_fract_y
_atom_site_fract_z
Hf1 Hf 0.0000 0.0000 0.0000
Mn1 Mn 0.0000 0.5000 0.5000
Br1 Br 0.5000 0.5000 0.0000
N1 N 0.5000 0.5000 0.5000
```

The following is a PBE calculation of crystalline NaHfMn2Br at its relaxed geometry, from Alexandria.

Computed properties:
formation energy (no corrections): 0.70 eV per atom
electronic total energy: -5.554 eV/atom

Cell and atoms, written as CIF:
```
data_NaHfMn2Br
_chemical_formula_sum 'Na1 Hf1 Mn2 Br1'
_space_group_name_H-M_alt 'P 4/m m m'
_space_group_IT_number 123
_space_group_name_Hall '-P 4 2'
_cell_length_a 5.0642
_cell_length_b 5.0642
_cell_length_c 5.4166
_cell_angle_alpha 90.00
_cell_angle_beta 90.00
_cell_angle_gamma 90.00
loop_
_atom_site_label
_atom_site_type_symbol
_atom_site_fract_x
_atom_site_fract_y
_atom_site_fract_z
Na1 Na 0.0000 0.0000 0.0000
Hf1 Hf 0.5000 0.5000 0.5000
Mn1 Mn 0.0000 0.5000 0.5000
Br1 Br 0.5000 0.5000 0.0000
```

The following is a PBE calculation of crystalline HfMnPd2Br at its relaxed geometry, from Alexandria.

Computed properties:
formation energy (no corrections): 0.86 eV per atom
electronic total energy: -5.380 eV/atom

Cell and atoms, written as CIF:
```
data_HfMnPd2Br
_chemical_formula_sum 'Hf1 Mn1 Pd2 Br1'
_space_group_name_H-M_alt 'P 4/m m m'
_space_group_IT_number 123
_space_group_name_Hall '-P 4 2'
_cell_length_a 4.9282
_cell_length_b 4.9282
_cell_length_c 5.1643
_cell_angle_alpha 90.00
_cell_angle_beta 90.00
_cell_angle_gamma 90.00
loop_
_atom_site_label
_atom_site_type_symbol
_atom_site_fract_x
_atom_site_fract_y
_atom_site_fract_z
Hf1 Hf 0.0000 0.0000 0.0000
Mn1 Mn 0.0000 0.0000 0.5000
Pd1 Pd 0.0000 0.5000 0.0000
Br1 Br 0.5000 0.5000 0.5000
```

These records have calculated volume values of 77.2 138.9 125.4 Å³/f.u., in the order they appear.